The following is a PBE with a Hubbard U calculation of Ba4FeBi3O12 after structural relaxation, from Alexandria.

It has space group Im-3m (No. 229), with a = 8.627 Å, b = 8.627 Å, c = 8.627 Å, α = 90.00°, β = 90.00° and γ = 90.00°. The distinct sites, in fractional coordinates, are Ba at (0.250, 0.250, 0.250), Fe at (0.000, 0.000, 0.000), Bi at (0.000, 0.000, 0.500), O at (0.000, 0.000, 0.242) and O at (0.000, 0.250, 0.500).

The value obtained for the density of states at the Fermi level is 2.4 states/eV/f.u. The calculation puts the volume at 16.05 Å³ per atom. As for the total energy: -6.035 eV per atom. The total magnetization is 8.93 Bohr magnetons per cell.